A geometry-optimized Ca4Pt structure. Source: Alexandria, functional GGA-PBE.

a b c (Å): 5.6630 5.6630 5.6630
angles (deg): 90.00 90.00 90.00
Closest atoms and distances in Å follow each position.
Sites, in units of the cell vectors:
1 Pt 0.5000 0.5000 0.5000  6 Ca 2.83
2 Ca 0.5000 0.5000 0.0000  2 Pt 2.83
3 Ca 0.0000 0.0000 0.0000  12 Ca 4.00
4 Ca 0.0000 0.5000 0.5000  2 Pt 2.83
5 Ca 0.5000 0.0000 0.5000  2 Pt 2.83

Summary:
Magnetization: 0.00 μB/cell
Energy of formation: -449.9 meV per atom
DOS at the Fermi energy: 3.8 states/eV/cell
Polymorph energy (0 for the lowest one): 0.022 eV/atom
Space-group type: Pm-3m

***

A geometry-optimized Si23Ru structure. Source: Alexandria, functional GGA-PBE.

a b c (Å): 10.1811 10.1811 10.1811
angles (deg): 90.00 90.00 90.00
Closest atoms and distances in Å follow each position.
Sites, in units of the cell vectors:
1 Si 0.3184 0.3184 0.6816  4 Si 2.35-2.41
2 Si 0.1163 0.0000 0.3080  4 Si 2.35-2.38
3 Si 0.8837 0.0000 0.6920  4 Si 2.35-2.38
4 Si 0.3184 0.3184 0.3184  4 Si 2.35-2.41
5 Si 0.1816 0.8184 0.1816  4 Si 2.35-2.41
6 Si 0.0000 0.5000 0.7500  4 Si 2.38
7 Si 0.3184 0.6816 0.6816  4 Si 2.35-2.41
8 Si 0.3184 0.6816 0.3184  4 Si 2.35-2.41
9 Si 0.3080 0.8837 0.0000  4 Si 2.35-2.38
10 Si 0.6816 0.6816 0.6816  4 Si 2.35-2.41
11 Si 0.5000 0.2500 0.0000  4 Si 2.38
12 Si 0.1163 0.0000 0.6920  4 Si 2.35-2.38
13 Si 0.0000 0.6920 0.1163  4 Si 2.35-2.38
14 Si 0.6816 0.3184 0.6816  4 Si 2.35-2.41
15 Si 0.8080 0.5000 0.6163  4 Si 2.35-2.38
16 Si 0.5000 0.6163 0.1920  4 Si 2.35-2.38
17 Si 0.6163 0.1920 0.5000  4 Si 2.35-2.38
18 Si 0.6816 0.6816 0.3184  4 Si 2.35-2.41
19 Si 0.5000 0.6163 0.8080  4 Si 2.35-2.38
20 Si 0.8837 0.0000 0.3080  4 Si 2.35-2.38
21 Si 0.0000 0.3080 0.8837  4 Si 2.35-2.38
22 Si 0.8184 0.1816 0.1816  4 Si 2.35-2.41
23 Si 0.6163 0.8080 0.5000  4 Si 2.35-2.38
24 Si 0.8184 0.8184 0.1816  4 Si 2.35-2.41
25 Si 0.8184 0.1816 0.8184  4 Si 2.35-2.41
26 Si 0.5000 0.7500 0.0000  4 Si 2.38
27 Si 0.7500 0.0000 0.5000  4 Si 2.38
28 Si 0.0000 0.6920 0.8837  4 Si 2.35-2.38
29 Si 0.1920 0.5000 0.3837  4 Si 2.35-2.38
30 Si 0.0000 0.5000 0.2500  4 Si 2.38
31 Si 0.3080 0.1163 0.0000  4 Si 2.35-2.38
32 Si 0.6920 0.8837 0.0000  4 Si 2.35-2.38
33 Si 0.3837 0.1920 0.5000  4 Si 2.35-2.38
34 Si 0.5000 0.3837 0.1920  4 Si 2.35-2.38
35 Si 0.1920 0.5000 0.6163  4 Si 2.35-2.38
36 Si 0.3837 0.8080 0.5000  4 Si 2.35-2.38
37 Si 0.0000 0.3080 0.1163  4 Si 2.35-2.38
38 Si 0.6920 0.1163 0.0000  4 Si 2.35-2.38
39 Si 0.8184 0.8184 0.8184  4 Si 2.35-2.41
40 Si 0.8080 0.5000 0.3837  4 Si 2.35-2.38
41 Si 0.1816 0.1816 0.1816  4 Si 2.35-2.41
42 Si 0.5000 0.3837 0.8080  4 Si 2.35-2.38
43 Si 0.1816 0.1816 0.8184  4 Si 2.35-2.41
44 Si 0.6816 0.3184 0.3184  4 Si 2.35-2.41
45 Si 0.2500 0.0000 0.5000  4 Si 2.38
46 Si 0.1816 0.8184 0.8184  4 Si 2.35-2.41
47 Ru 0.5000 0.5000 0.5000  20 Si 3.20-3.35
48 Ru 0.0000 0.0000 0.0000  20 Si 3.20-3.35

Summary:
Magnetization: 4.56 μB/cell
Formation energy from raw total energies: 0.215 eV/atom
DOS at the Fermi energy: 17.3 states/eV/cell
Space-group type: Pm-3n

***

A geometry-optimized CsTlBiTe3 structure. Source: Alexandria, functional GGA-PBE.

a b c (Å): 4.7261 10.0233 11.5068
angles (deg): 107.48 90.00 90.00
Closest atoms and distances in Å follow each position.
Sites, in units of the cell vectors:
1 Bi 0.2500 0.6734 0.1176  5 Te 3.03-3.21
2 Bi 0.7500 0.3266 0.8824  5 Te 3.03-3.21
3 Cs 0.7500 0.7759 0.7403  7 Te 3.90-4.22, 2 Tl 4.32
4 Cs 0.2500 0.2241 0.2597  7 Te 3.90-4.22, 2 Tl 4.32
5 Tl 0.2500 0.0723 0.6233  4 Te 3.06-3.23
6 Tl 0.7500 0.9277 0.3767  4 Te 3.06-3.23
7 Te 0.7500 0.2390 0.5673  3 Tl 3.07-3.23
8 Te 0.2500 0.7610 0.4327  3 Tl 3.07-3.23
9 Te 0.7500 0.4745 0.1544  3 Bi 3.03-3.20
10 Te 0.7500 0.8834 0.1015  1 Tl 3.06, 2 Bi 3.21
11 Te 0.2500 0.5255 0.8456  3 Bi 3.03-3.20
12 Te 0.2500 0.1166 0.8985  1 Tl 3.06, 2 Bi 3.21

Summary:
Magnetization: 0.00 μB/cell
Formation energy from raw total energies: -0.444 eV/atom
DOS at the Fermi energy: 4.8 states/eV/cell
Space-group type: P2_1/m

***

A geometry-optimized NdGa4Ru2Rh structure. Source: Alexandria, functional GGA-PBE.

a b c (Å): 4.2672 4.2672 9.0466
angles (deg): 76.36 76.36 60.00
Closest atoms and distances in Å follow each position.
Sites, in units of the cell vectors:
1 Ru 0.7652 0.7652 0.7044  7 Ga 2.58-2.70
2 Ru 0.2348 0.2348 0.2956  7 Ga 2.58-2.70
3 Ga 0.5974 0.5974 0.2079  1 Rh 2.54, 3 Ru 2.58
4 Ga 0.1313 0.1313 0.6062  4 Ru 2.61-2.70, 3 Rh 2.63
5 Ga 0.4026 0.4026 0.7921  1 Rh 2.54, 3 Ru 2.58
6 Ga 0.8687 0.8687 0.3938  4 Ru 2.61-2.70, 3 Rh 2.63
7 Nd 0.0000 0.0000 0.0000  6 Ga 3.06
8 Rh 0.5000 0.5000 0.5000  8 Ga 2.54-2.63

Summary:
Magnetization: 0.00 μB/cell
Energy of formation: -498.3 meV per atom
DOS at the Fermi energy: 4.5 states/eV/cell
Space-group type: R-3m

***

A geometry-optimized YSiRu2 structure. Source: Alexandria, functional GGA-PBE.

a b c (Å): 4.5706 4.5706 4.5706
angles (deg): 60.00 60.00 60.00
Closest atoms and distances in Å follow each position.
Sites, in units of the cell vectors:
1 Ru 0.0000 0.0000 0.0000  4 Ru 2.80, 4 Y 2.80
2 Ru 0.2500 0.2500 0.2500  4 Si 2.80, 4 Ru 2.80
3 Y 0.7500 0.7500 0.7500  4 Ru 2.80, 4 Si 2.80
4 Si 0.5000 0.5000 0.5000  4 Y 2.80, 4 Ru 2.80

Summary:
Magnetization: 1.88 μB/cell
Formation energy from raw total energies: 0.084 eV/atom
DOS at the Fermi energy: 4.7 states/eV/cell
Space-group type: F-43m